(1)
Entry from Alexandria: crystalline Na2Li2Se at its relaxed geometry (PBE-GGA).

The structure in CIF format:
```
data_Na2Li2Se
_symmetry_space_group_name_H-M 'P 4/m b m'
_symmetry_Int_Tables_number 127
_symmetry_space_group_name_Hall '-P 4 2ab'
_cell_length_a 6.7435
_cell_length_b 6.7435
_cell_length_c 5.2953
_cell_angle_alpha 90.00
_cell_angle_beta 90.00
_cell_angle_gamma 90.00
loop_
_atom_site_label
_atom_site_type_symbol
_atom_site_fract_x
_atom_site_fract_y
_atom_site_fract_z
Na1 Na 0.1809 0.3191 0.0000
Li1 Li 0.1577 0.6577 0.5000
Se1 Se 0.0000 0.0000 0.5000
```

Results
- Formation energy from raw total energies: -519.0 meV per atom
- VASP energy: -2.509 eV per atom
- DOS(E_F): 0.00 states/eV/atom
- Magnetization: 0.0 μB/f.u.
- E above lowest polymorph: 0.0000 eV/atom

---

(2)
Entry from Alexandria: crystalline NaLi2Se at its relaxed geometry (PBE-GGA).

The structure in CIF format:
```
data_NaLi2Se
_symmetry_space_group_name_H-M 'R 3 m'
_symmetry_Int_Tables_number 160
_symmetry_space_group_name_Hall 'R 3 -2"'
_cell_length_a 4.1259
_cell_length_b 4.1259
_cell_length_c 21.4397
_cell_angle_alpha 90.00
_cell_angle_beta 90.00
_cell_angle_gamma 120.00
loop_
_atom_site_label
_atom_site_type_symbol
_atom_site_fract_x
_atom_site_fract_y
_atom_site_fract_z
Na1 Na 0.0000 0.0000 0.0000
Li1 Li 0.0000 0.0000 0.5284
Li2 Li 0.0000 0.0000 0.7836
Se1 Se 0.0000 0.0000 0.1513
```

Results
- Formation energy from raw total energies: -772.8 meV per atom
- VASP energy: -2.931 eV per atom
- DOS(E_F): 0.20 states/eV/atom
- Magnetization: 0.0 μB/f.u.

---

(3)
Entry from Alexandria: crystalline NaLi2Se at its relaxed geometry (PBE-GGA).

The structure in CIF format:
```
data_NaLi2Se
_symmetry_space_group_name_H-M 'R -3 m'
_symmetry_Int_Tables_number 166
_symmetry_space_group_name_Hall '-R 3 2"'
_cell_length_a 4.0933
_cell_length_b 4.0933
_cell_length_c 22.0551
_cell_angle_alpha 90.00
_cell_angle_beta 90.00
_cell_angle_gamma 120.00
loop_
_atom_site_label
_atom_site_type_symbol
_atom_site_fract_x
_atom_site_fract_y
_atom_site_fract_z
Na1 Na 0.0000 0.0000 0.0000
Li1 Li 0.0000 0.0000 0.2050
Se1 Se 0.0000 0.0000 0.5000
```

Results
- Formation energy from raw total energies: -752.2 meV per atom
- VASP energy: -2.910 eV per atom
- DOS(E_F): 0.17 states/eV/atom
- Magnetization: 0.0 μB/f.u.

---

Number 3 is which compound?
NaLi2Se

---

Which formula does entry 2 have?
NaLi2Se

---

The lowest VASP energy belongs to which entry?
number 2